# 1
The following is a DFT calculation (PBE-GGA) of a relaxed Co2AgW crystal.

Cell and atoms, written as POSCAR:
```
Co2AgW
1.0
4.541 0.017 0.000
-1.126 4.399 0.000
0.000 0.000 2.708
W Co Ag
1 2 1
Direct
0.500 0.000 0.500
0.000 0.000 0.000
0.500 0.500 0.000
0.000 0.500 0.500
```

Calculated values
The total magnetic moment is 0.3049 μB/atom. The formation energy comes out at 10.10 kcal/mol of atoms. The total energy is -0.25967 hartree per atom. The calculation puts the polymorph energy (0 for the lowest one) at 0.168 eV per atom.

# 2
The following is a DFT calculation (PBE-GGA) of a relaxed Co2AgW crystal.

Cell and atoms, written as POSCAR:
```
Co2AgW
1.0
8.859 0.018 0.010
8.435 2.709 0.010
8.435 1.330 2.360
W Co Ag
1 2 1
Direct
0.250 0.250 0.250
0.995 0.995 0.995
0.505 0.505 0.505
0.750 0.750 0.750
```

Calculated values
The total magnetic moment is 0.3278 μB/atom. The formation energy comes out at 8.09 kcal/mol of atoms. The total energy is -0.26288 hartree per atom. The calculation puts the polymorph energy (0 for the lowest one) at 0.080 eV per atom.

# 3
The following is a DFT calculation (PBE-GGA) of a relaxed Co2AgW crystal.

Cell and atoms, written as POSCAR:
```
Co2AgW
1.0
3.003 0.000 0.000
0.000 4.229 0.000
0.000 0.000 4.229
Ag W Co
1 1 2
Direct
0.500 0.000 0.500
0.500 0.500 0.000
0.000 0.000 0.000
0.000 0.500 0.500
```

Calculated values
The total magnetic moment is 0.0017 μB/atom. The formation energy comes out at 10.98 kcal/mol of atoms. The total energy is -0.25827 hartree per atom. The calculation puts the polymorph energy (0 for the lowest one) at 0.206 eV per atom.